Entry 1:
DFT (GGA-PBEsol) results for crystalline SrMn2Ru at its relaxed geometry.

The structure belongs to space group P4mm (No. 99); the cell edges are 2.975, 2.975 and 7.671 Å and the angles 90.00°, 90.00° and 90.00°. Symmetry generates all atoms from Sr at (0.000, 0.000, 0.000), Mn at (0.000, 0.000, 0.526), Mn at (0.500, 0.500, 0.337) and Ru at (0.500, 0.500, 0.693).

The theoretical density comes out at 7.3 g/cm3. Its energy above the most stable polymorph in this dataset is 0.44 eV/f.u. The total magnetization is 5.08 μB per cell.



Entry 2:
DFT (GGA-PBEsol) results for crystalline SrMnRu2 at its relaxed geometry.

The structure belongs to space group P4/mmm (No. 123); the cell edges are 4.538, 4.538 and 3.223 Å and the angles 90.00°, 90.00° and 90.00°. Symmetry generates all atoms from Sr at (0.000, 0.000, 0.000), Mn at (0.500, 0.500, 0.000) and Ru at (0.000, 0.500, 0.500).

The theoretical density comes out at 8.6 g/cm3. The total magnetization is 2.89 μB per cell.



Entry 3:
DFT (GGA-PBEsol) results for crystalline SrMn2Ru2 at its relaxed geometry.

The structure belongs to space group I4/mmm (No. 139); the cell edges are 4.145, 4.145 and 9.845 Å and the angles 90.00°, 90.00° and 90.00°. Symmetry generates all atoms from Sr at (0.000, 0.000, 0.000), Mn at (0.000, 0.500, 0.250) and Ru at (0.000, 0.000, 0.364).

The theoretical density comes out at 7.8 g/cm3. The total magnetization is 4.04 μB per cell.



no.,E_tot (eV/atom),DFT formation energy (kJ/mol of formula units)
1,-7.269,237
2,-7.044,364
3,-7.918,204